# 1
DFT (GGA-PBE) results for a relaxed structure of Tb4TmIn.

Calculated values
The calculation puts the calculated formation energy at -147.6 meV per atom. As for the energy above the most stable polymorph in this dataset: 0.0 meV per atom. The calculation puts the total magnetization at 0.0 μB per formula unit. The crystal system is tetragonal.

abc: 3.5603 3.5603 14.3111
angles: 90.00 90.00 90.00
Element x y z (fractional)
1 Tb 0.0000 0.0000 0.1489
2 Tb 0.0000 0.0000 0.8511
3 Tb 0.5000 0.5000 0.3265
4 Tb 0.5000 0.5000 0.6735
5 Tm 0.0000 0.0000 0.5000
6 In 0.5000 0.5000 0.0000

# 2
DFT (GGA-PBE) results for a relaxed structure of Cs2PtS4.

Calculated values
The calculation puts the total magnetization at 2.7 μB per formula unit. The crystal system is tetragonal. The value obtained for the formation energy (no corrections) is -290 meV/atom.

abc: 9.2539 9.2539 9.2539
angles: 148.21 148.21 45.57
Element x y z (fractional)
1 Cs 0.1453 0.1453 0.0000
2 Cs 0.8547 0.8547 0.0000
3 Pt 0.5000 0.5000 0.0000
4 S 0.0000 0.5000 0.5000
5 S 0.3657 0.3657 0.0000
6 S 0.5000 0.0000 0.5000
7 S 0.6343 0.6343 0.0000

# 3
DFT (GGA-PBE) results for a relaxed structure of AcMnGa3.

Calculated values
The calculation puts the calculated formation energy at -388.3 meV per atom. The calculation puts the total magnetization at 0.0 μB per formula unit. The crystal system is cubic.

abc: 4.7068 4.7068 4.7068
angles: 90.00 90.00 90.00
Element x y z (fractional)
1 Ac 0.0000 0.0000 0.0000
2 Mn 0.5000 0.5000 0.5000
3 Ga 0.0000 0.5000 0.5000
4 Ga 0.5000 0.0000 0.5000
5 Ga 0.5000 0.5000 0.0000

# 4
DFT (GGA-PBE) results for a relaxed structure of Sc2TiTe.

Calculated values
The calculation puts the total magnetization at 1.6 μB per formula unit. The crystal system is trigonal. The value obtained for the formation energy (no corrections) is 132 meV/atom.

abc: 9.7230 9.7230 9.7230
angles: 20.70 20.70 20.70
Element x y z (fractional)
1 Sc 0.0951 0.0951 0.0951
2 Sc 0.9049 0.9049 0.9049
3 Ti 0.0000 0.0000 0.0000
4 Te 0.5000 0.5000 0.5000

# 5
DFT (GGA-PBE) results for a relaxed structure of DyHgF3.

Calculated values
The calculation puts the total magnetization at 0.0 μB per formula unit. The crystal system is cubic. The value obtained for the formation energy (no corrections) is -3153 meV/atom.

abc: 4.4924 4.4924 4.4924
angles: 90.00 90.00 90.00
Element x y z (fractional)
1 Dy 0.0000 0.0000 0.0000
2 Hg 0.5000 0.5000 0.5000
3 F 0.0000 0.0000 0.5000
4 F 0.0000 0.5000 0.0000
5 F 0.5000 0.0000 0.0000

# 6
DFT (GGA-PBE) results for a relaxed structure of FeIr6Ru.

Calculated values
The calculation puts the calculated formation energy at -40.9 meV per atom. The calculation puts the total magnetization at 2.7 μB per formula unit. The crystal system is tetragonal.

abc: 3.8460 3.8460 7.6766
angles: 90.00 90.00 90.00
Element x y z (fractional)
1 Fe 0.0000 0.0000 0.0000
2 Ir 0.0000 0.5000 0.2494
3 Ir 0.0000 0.5000 0.7506
4 Ir 0.5000 0.0000 0.2494
5 Ir 0.5000 0.0000 0.7506
6 Ir 0.5000 0.5000 0.0000
7 Ir 0.5000 0.5000 0.5000
8 Ru 0.0000 0.0000 0.5000

# 7
DFT (GGA-PBE) results for a relaxed structure of MgAs2Cl.

Calculated values
As for the energy above the most stable polymorph in this dataset: 819.4 meV per atom. The calculation puts the total magnetization at 0.0 μB per formula unit. The crystal system is cubic. The value obtained for the formation energy (no corrections) is 225 meV/atom.

abc: 4.8596 4.8596 4.8596
angles: 60.00 60.00 60.00
Element x y z (fractional)
1 Mg 0.0000 0.0000 0.0000
2 As 0.2500 0.2500 0.2500
3 As 0.7500 0.7500 0.7500
4 Cl 0.5000 0.5000 0.5000

# 8
DFT (GGA-PBE) results for a relaxed structure of LiZnCd3.

Calculated values
The calculation puts the calculated formation energy at -80.8 meV per atom. As for the energy above the most stable polymorph in this dataset: 29.0 meV per atom. The calculation puts the total magnetization at 0.0 μB per formula unit. The crystal system is triclinic.

abc: 5.1885 5.8781 7.4510
angles: 67.54 77.73 89.47
Element x y z (fractional)
1 Li 0.2128 0.4352 0.1386
2 Li 0.7872 0.5648 0.8614
3 Zn 0.0000 0.0000 0.0000
4 Zn 0.5000 0.0000 0.0000
5 Cd 0.1197 0.8068 0.3935
6 Cd 0.3341 0.4012 0.7116
7 Cd 0.3417 0.8761 0.7131
8 Cd 0.6583 0.1239 0.2869
9 Cd 0.6659 0.5988 0.2884
10 Cd 0.8803 0.1932 0.6065

# 9
DFT (GGA-PBE) results for a relaxed structure of LiMg4In7.

Calculated values
The calculation puts the calculated formation energy at 10.9 meV per atom. As for the energy above the most stable polymorph in this dataset: 84.9 meV per atom. The calculation puts the total magnetization at 0.0 μB per formula unit. The crystal system is monoclinic.

abc: 7.6432 7.6432 10.7690
angles: 127.14 127.14 39.99
Element x y z (fractional)
1 Li 0.0000 0.0000 0.0000
2 Mg 0.3007 0.3007 0.6435
3 Mg 0.4172 0.4172 0.1967
4 Mg 0.5828 0.5828 0.8033
5 Mg 0.6993 0.6993 0.3565
6 In 0.0607 0.0607 0.3139
7 In 0.2139 0.2139 0.8366
8 In 0.3535 0.3535 0.4113
9 In 0.5000 0.5000 0.0000
10 In 0.6465 0.6465 0.5887
11 In 0.7861 0.7861 0.1634
12 In 0.9393 0.9393 0.6861

# 10
DFT (GGA-PBE) results for a relaxed structure of NbCr2Ir2.

Calculated values
The calculation puts the calculated formation energy at -135.6 meV per atom. As for the energy above the most stable polymorph in this dataset: 41.5 meV per atom. The calculation puts the total magnetization at 0.0 μB per formula unit. The crystal system is tetragonal.

abc: 7.3376 7.3376 2.6980
angles: 90.00 90.00 90.00
Element x y z (fractional)
1 Nb 0.0000 0.0000 0.0000
2 Nb 0.5000 0.5000 0.0000
3 Cr 0.1682 0.3318 0.5000
4 Cr 0.3318 0.8318 0.5000
5 Cr 0.6682 0.1682 0.5000
6 Cr 0.8318 0.6682 0.5000
7 Ir 0.1287 0.6287 0.0000
8 Ir 0.3713 0.1287 0.0000
9 Ir 0.6287 0.8713 0.0000
10 Ir 0.8713 0.3713 0.0000

# 11
DFT (GGA-PBE) results for a relaxed structure of MnW3Se.

Calculated values
As for the energy above the most stable polymorph in this dataset: 0.0 meV per atom. The calculation puts the total magnetization at 0.0 μB per formula unit. The crystal system is cubic. The value obtained for the formation energy (no corrections) is 1537 meV/atom.

abc: 4.5174 4.5174 4.5174
angles: 90.00 90.00 90.00
Element x y z (fractional)
1 Mn 0.0000 0.0000 0.0000
2 W 0.0000 0.0000 0.5000
3 W 0.0000 0.5000 0.0000
4 W 0.5000 0.0000 0.0000
5 Se 0.5000 0.5000 0.5000

# 12
DFT (GGA-PBE) results for a relaxed structure of ZrBe2Ru.

Calculated values
The calculation puts the calculated formation energy at -185.3 meV per atom. As for the energy above the most stable polymorph in this dataset: 173.1 meV per atom. The calculation puts the total magnetization at 0.0 μB per formula unit. The crystal system is trigonal.

abc: 5.0849 5.0849 5.0849
angles: 43.25 43.25 43.25
Element x y z (fractional)
1 Zr 0.0000 0.0000 0.0000
2 Be 0.4840 0.4840 0.4840
3 Be 0.8012 0.8012 0.8012
4 Ru 0.2093 0.2093 0.2093